First-principles (PBE) data for a relaxed TmCdBr crystal, as listed in the Alexandria database.

Unit cell a=3.652 b=3.652 c=15.848 alpha=90.00 beta=90.00 gamma=120.00
Site moments in Bohr magnetons follow the coordinates.
Atoms (fractional coordinates):
Cd 0.609 0.217 0.000  0.00
Cd 0.278 0.556 0.500  -0.01
Tm 0.612 0.223 0.650  0.20
Tm 0.612 0.223 0.350  0.20
Br 0.278 0.557 0.226  0.01
Br 0.278 0.557 0.774  0.01

Results
DOS(E_F) ... 2.6 states/eV per cell
Calculated volume ... 183.08 Å³ per cell
Total magnetic moment ... 0.5 Bohr magnetons per cell
Crystal system ... orthorhombic
Uncorrected energy ... -3.068 eV per atom